Computed, not measured: YReAu2 after structural relaxation at the PBE-GGA level of DFT.

abc: 5.164 5.164 5.151
angles: 78.53 78.53 34.72
Positions (direct):
Au (0.003, 0.003, 0.995)
Au (0.756, 0.756, 0.727)
Re (0.496, 0.496, 0.535)
Y (0.245, 0.245, 0.244)

Results
ΔE_f (eV/atom): 0.11
Excess energy over the best structure of this formula in the dataset (meV per atom): 83
Space group: Cm, No. 8